[1]
La6CeSm5 | PBE | relaxed

a = 5.2273 Å, b = 10.3155 Å, c = 15.6194 Å
α = 90.00°, β = 90.00°, γ = 90.00°
Space group Immm (No. 71)
Unique sites:
La (0.0000, 0.2467, 0.0000)
La (0.0000, 0.2514, 0.3357)
Ce (0.0000, 0.5000, 0.5000)
Sm (0.0000, 0.0000, 0.1638)
Sm (0.0000, 0.0000, 0.5000)
Sm (0.0000, 0.5000, 0.1676)

Results
Formation energy   37 meV per atom
D(E_F)   46.5 states/eV per cell

[2]
LiCuWS4 | PBE | relaxed

a = 7.3824 Å, b = 10.8869 Å, c = 7.3470 Å
α = 90.00°, β = 90.00°, γ = 90.00°
Space group Cmcm (No. 63)
Unique sites:
Li (0.0000, 0.0000, 0.0000)
Cu (0.0000, 0.3817, 0.2500)
W (0.0000, 0.3661, 0.7500)
S (0.0000, 0.2519, 0.5026)
S (0.2455, 0.4886, 0.7500)

Results
ΔE_f (raw)   -602 meV/atom

[3]
PrCdSn | PBE | relaxed

a = 4.4902 Å, b = 17.8872 Å, c = 4.4050 Å
α = 90.00°, β = 90.00°, γ = 90.00°
Space group Cmc2_1 (No. 36)
Unique sites:
Pr (0.0000, 0.0959, 0.0000)
Cd (0.0000, 0.2781, 0.0101)
Sn (0.0000, 0.4440, 0.9995)

Results
Formation energy   -426 meV per atom
D(E_F)   7.1 states/eV per cell

[4]
LaFeSn2Hg | PBE | relaxed

a = 5.0159 Å, b = 5.0159 Å, c = 5.0822 Å
α = 90.00°, β = 90.00°, γ = 90.00°
Space group P4/mmm (No. 123)
Unique sites:
La (0.0000, 0.0000, 0.0000)
Fe (0.0000, 0.0000, 0.5000)
Sn (0.0000, 0.5000, 0.5000)
Hg (0.5000, 0.5000, 0.0000)

Results
Formation energy   -259 meV per atom
D(E_F)   4.0 states/eV per cell

[5]
CsTiBr4 | PBE | relaxed

a = 9.9230 Å, b = 14.3469 Å, c = 7.9557 Å
α = 90.00°, β = 113.07°, γ = 90.00°
Space group C2/c (No. 15)
Unique sites:
Cs (0.0000, 0.1552, 0.2500)
Ti (0.0000, 0.4997, 0.2500)
Br (0.0034, 0.3754, 0.5017)
Br (0.2254, 0.0012, 0.6153)

Results
ΔE_f (raw)   -1388 meV/atom
D(E_F)   5.7 states/eV per cell

[6]
MgBIr2Ru | PBE | relaxed

a = 4.1129 Å, b = 4.1129 Å, c = 4.1298 Å
α = 90.00°, β = 90.00°, γ = 90.00°
Space group P4/mmm (No. 123)
Unique sites:
Mg (0.0000, 0.0000, 0.0000)
B (0.5000, 0.5000, 0.5000)
Ir (0.0000, 0.5000, 0.5000)
Ru (0.5000, 0.5000, 0.0000)

Results
Formation energy   -177 meV per atom
D(E_F)   5.3 states/eV per cell